No. 1
First-principles (PBE) data for a geometry-optimized CaZr2Pt structure, as listed in the Alexandria database.

Cell lengths 11.423, 5.113, 3.304 Å; angles 90.00, 106.72, 90.00 degrees
Fractional coordinates of all 8 atoms:
Ca 0.000 0.000 0.000
Ca 0.500 0.500 0.000
Zr 0.209 0.500 0.210
Zr 0.291 0.000 0.790
Zr 0.709 0.000 0.210
Zr 0.791 0.500 0.790
Pt 0.000 0.500 0.500
Pt 0.500 0.000 0.500

Output
SG = C2/m, No. 12
formation energy = -399 meV per atom

No. 2
First-principles (PBE) data for a geometry-optimized NbCrCoMo structure, as listed in the Alexandria database.

Cell lengths 6.120, 6.120, 6.120 Å; angles 90.00, 90.00, 90.00 degrees
Fractional coordinates of all 16 atoms:
Nb 0.000 0.000 0.000
Nb 0.000 0.500 0.500
Nb 0.500 0.000 0.500
Nb 0.500 0.500 0.000
Cr 0.000 0.000 0.500
Cr 0.000 0.500 0.000
Cr 0.500 0.000 0.000
Cr 0.500 0.500 0.500
Co 0.250 0.250 0.250
Co 0.250 0.750 0.750
Co 0.750 0.250 0.750
Co 0.750 0.750 0.250
Mo 0.250 0.250 0.750
Mo 0.250 0.750 0.250
Mo 0.750 0.250 0.250
Mo 0.750 0.750 0.750

Output
SG = F-43m, No. 216
formation energy = 81 meV per atom

No. 3
First-principles (PBE) data for a geometry-optimized GeTeAs2Br structure, as listed in the Alexandria database.

Cell lengths 5.129, 5.129, 4.966 Å; angles 90.00, 90.00, 90.00 degrees
Fractional coordinates of all 5 atoms:
Ge 0.000 0.000 0.000
Te 0.500 0.500 0.500
As 0.000 0.500 0.000
As 0.500 0.000 0.000
Br 0.000 0.000 0.500

Output
SG = P4/mmm, No. 123
E_form (uncorrected) = 539 meV per atom

No. 4
First-principles (PBE) data for a geometry-optimized H2PdS4O14 structure, as listed in the Alexandria database.

Cell lengths 9.457, 7.007, 9.554 Å; angles 90.00, 116.77, 90.00 degrees
Fractional coordinates of all 42 atoms:
H 0.023 0.213 0.441
H 0.023 0.287 0.941
H 0.977 0.713 0.059
H 0.977 0.787 0.559
Pd 0.500 0.000 0.000
Pd 0.500 0.500 0.500
S 0.222 0.142 0.397
S 0.222 0.358 0.897
S 0.303 0.672 0.122
S 0.303 0.828 0.622
S 0.697 0.172 0.378
S 0.697 0.328 0.878
S 0.778 0.642 0.103
S 0.778 0.858 0.603
O 0.120 0.020 0.274
O 0.120 0.480 0.774
O 0.135 0.240 0.972
O 0.135 0.260 0.472
O 0.148 0.629 0.107
O 0.148 0.871 0.607
O 0.308 0.664 0.529
O 0.308 0.836 0.029
O 0.324 0.228 0.866
O 0.324 0.272 0.366
O 0.351 0.018 0.543
O 0.351 0.482 0.043
O 0.435 0.668 0.279
O 0.435 0.832 0.779
O 0.565 0.168 0.221
O 0.565 0.332 0.721
O 0.649 0.518 0.957
O 0.649 0.982 0.457
O 0.676 0.728 0.634
O 0.676 0.772 0.134
O 0.692 0.164 0.971
O 0.692 0.336 0.471
O 0.852 0.129 0.393
O 0.852 0.371 0.893
O 0.865 0.740 0.528
O 0.865 0.760 0.028
O 0.880 0.520 0.226
O 0.880 0.980 0.726

Output
SG = P2_1/c, No. 14
total energy = -239.7 eV/cell

No. 5
First-principles (PBE) data for a geometry-optimized CoSb2IN structure, as listed in the Alexandria database.

Cell lengths 4.801, 4.801, 5.207 Å; angles 90.00, 90.00, 90.00 degrees
Fractional coordinates of all 5 atoms:
Co 0.000 0.000 0.000
Sb 0.000 0.500 0.000
Sb 0.500 0.000 0.000
I 0.000 0.000 0.500
N 0.500 0.500 0.500

Output
SG = P4/mmm, No. 123
E_form (uncorrected) = 1415 meV per atom

No. 6
First-principles (PBE) data for a geometry-optimized MnGe structure, as listed in the Alexandria database.

Cell lengths 2.727, 4.944, 4.246 Å; angles 90.00, 90.00, 90.00 degrees
Fractional coordinates of all 4 atoms:
Mn 0.250 0.250 0.128
Mn 0.750 0.750 0.872
Ge 0.250 0.750 0.364
Ge 0.750 0.250 0.636

Output
SG = Pmmn, No. 59
formation energy = 70 meV per atom